Nd8Sb2Pb: optimized geometry, PBE-GGA.

SG = C2/m
Crystal system = monoclinic

abc: 4.9558 7.5970 10.1760
angles: 98.73 104.09 90.00
Element x y z (fractional)
Nd (0.4029, 0.5066, 0.8059)
Nd (0.6650, 0.0226, 0.3300)
Nd (0.7834, 0.6465, 0.5668)
Nd (0.9832, 0.2485, 0.9664)
Nd (0.2166, 0.3535, 0.4332)
Nd (0.3350, 0.9774, 0.6700)
Nd (0.5971, 0.4934, 0.1941)
Nd (0.0168, 0.7515, 0.0336)
Sb (0.8195, 0.2374, 0.6390)
Sb (0.1805, 0.7626, 0.3610)
Pb (0.5000, 0.0000, 0.0000)


Nd3SbPb2: optimized geometry, PBE-GGA.

SG = Immm
Crystal system = orthorhombic

abc: 6.4403 9.1387 7.8923
angles: 106.84 114.08 90.00
Element x y z (fractional)
Nd (0.5000, 0.2500, 0.0000)
Nd (0.5000, 0.7500, 0.0000)
Nd (0.1597, 0.0799, 0.3194)
Nd (0.8403, 0.4201, 0.6806)
Nd (0.1597, 0.5799, 0.3194)
Nd (0.8403, 0.9201, 0.6806)
Sb (0.0000, 0.7500, 0.0000)
Sb (0.0000, 0.2500, 0.0000)
Pb (0.6684, 0.5841, 0.3369)
Pb (0.6684, 0.0841, 0.3369)
Pb (0.3316, 0.9159, 0.6631)
Pb (0.3316, 0.4159, 0.6631)


Nd2SbPb: optimized geometry, PBE-GGA.

SG = P4/mmm
Polymorph energy (0 for the lowest one) = 196 meV per atom
Crystal system = tetragonal

abc: 3.8464 3.8464 8.2276
angles: 90.00 90.00 90.00
Element x y z (fractional)
Pb (0.5000, 0.5000, 0.5000)
Sb (0.5000, 0.5000, 0.0000)
Nd (0.0000, 0.0000, 0.7714)
Nd (0.0000, 0.0000, 0.2286)


Nd2Sb4Pb: optimized geometry, PBE-GGA.

SG = P-4m2
Crystal system = tetragonal

abc: 4.3638 4.3638 11.7229
angles: 90.00 90.00 90.00
Element x y z (fractional)
Nd (0.5000, 0.0000, 0.7139)
Nd (0.0000, 0.5000, 0.2861)
Sb (0.5000, 0.0000, 0.1943)
Sb (0.0000, 0.5000, 0.8057)
Sb (0.5000, 0.5000, 0.5000)
Sb (0.0000, 0.0000, 0.5000)
Pb (0.5000, 0.5000, 0.0000)


NdSb2Pb: optimized geometry, PBE-GGA.

SG = Cmmm
Polymorph energy (0 for the lowest one) = 2 meV per atom
Crystal system = orthorhombic

abc: 6.7790 6.7790 6.7790
angles: 76.47 73.80 119.15
Element x y z (fractional)
Nd (0.0000, 0.2500, 0.7500)
Nd (0.0000, 0.7500, 0.2500)
Sb (0.4996, 0.2495, 0.7499)
Sb (0.9993, 0.7495, 0.7502)
Sb (0.0007, 0.2505, 0.2498)
Sb (0.5004, 0.7505, 0.2501)
Pb (0.5000, 0.2500, 0.2500)
Pb (0.5000, 0.7500, 0.7500)


Nd6Sb5Pb: optimized geometry, PBE-GGA.

SG = C2/m
Crystal system = monoclinic

abc: 7.8335 7.8562 7.8605
angles: 60.02 80.36 70.42
Element x y z (fractional)
Pb (0.0000, 0.0000, 0.0000)
Sb (0.5000, 0.1662, 0.6676)
Sb (0.0000, 0.3335, 0.3330)
Sb (0.5000, 0.5000, 0.0000)
Sb (0.0000, 0.6665, 0.6670)
Sb (0.5000, 0.8338, 0.3324)
Nd (0.7485, 0.0837, 0.3382)
Nd (0.2515, 0.5781, 0.3382)
Nd (0.2521, 0.2539, 0.0000)
Nd (0.7479, 0.7461, 0.0000)
Nd (0.7485, 0.4219, 0.6618)
Nd (0.2515, 0.9163, 0.6618)


What did we get for raw formation energy? Answer: -0.455; -0.671; -0.685; -0.656; -0.507; -1.054 eV per atom, in the order shown.